No. 1
Computed, not measured: Cs2SrYF6 after structural relaxation at the PBE level of DFT.

```
20
Lattice="6.823 0.000 0.000 0.000 9.467 0.000 0.000 0.000 6.650" Properties=species:S:1:pos:R:3 pbc="T T T"
Cs 1.706 0.059 1.459
Cs 1.706 4.674 1.459
Cs 5.118 4.793 5.191
Cs 5.118 9.408 5.191
Sr 1.706 2.367 4.855
Sr 5.118 7.101 1.795
Y 1.706 7.101 4.872
Y 5.118 2.367 1.778
F 0.115 7.101 6.632
F 0.283 2.367 2.837
F 1.706 4.853 4.988
F 1.706 9.348 4.988
F 3.128 2.367 2.837
F 3.297 7.101 6.632
F 3.526 2.367 0.018
F 3.695 7.101 3.813
F 5.118 0.120 1.662
F 5.118 4.614 1.662
F 6.540 7.101 3.813
F 6.709 2.367 0.018
```

## Properties
Its total energy is -5.373 eV per atom. For the formation energy (no corrections), the calculation gives -3.2645 eV/atom. As for the magnetization: 0.81 μB/f.u. For the theoretical density, the calculation gives 4.30 g/cm³. The space group is Pmmn (59). The relative energy among the computed polymorphs comes out at 0.000 eV/atom.


No. 2
Computed, not measured: Cs3SrZn2F9 after structural relaxation at the PBE level of DFT.

```
15
Lattice="6.282 0.000 0.000 -3.141 5.440 0.000 0.000 0.000 7.741" Properties=species:S:1:pos:R:3 pbc="T T T"
Cs 0.000 0.000 0.000
Cs 0.000 3.627 5.242
Cs 3.141 1.813 2.498
Sr 0.000 0.000 3.870
Zn 0.000 3.627 1.207
Zn 3.141 1.813 6.533
F -1.570 2.720 0.000
F 0.000 1.949 2.429
F -1.453 4.466 2.429
F 1.688 0.974 5.312
F 3.141 0.000 0.000
F 1.570 2.720 0.000
F 1.453 4.466 2.429
F 4.594 0.974 5.312
F 3.141 3.491 5.312
```

## Properties
Its total energy is -4.390 eV per atom. For the formation energy (no corrections), the calculation gives -2.8142 eV/atom. As for the magnetization: 0.00 μB/f.u. For the theoretical density, the calculation gives 4.95 g/cm³. The space group is P-3m1 (164).


No. 3
Computed, not measured: CsTaF3 after structural relaxation at the PBE level of DFT.

```
5
Lattice="4.496 0.000 0.000 0.000 4.496 0.000 0.000 0.000 4.496" Properties=species:S:1:pos:R:3 pbc="T T T"
Cs 0.000 0.000 0.000
Ta 2.248 2.248 2.248
F 0.000 2.248 2.248
F 2.248 0.000 2.248
F 2.248 2.248 0.000
```

## Properties
Its total energy is -5.598 eV per atom. For the formation energy (no corrections), the calculation gives -1.9341 eV/atom. As for the magnetization: 3.00 μB/f.u. For the theoretical density, the calculation gives 6.78 g/cm³. The space group is Pm-3m (221). The relative energy among the computed polymorphs comes out at 0.000 eV/atom.


No. 4
Computed, not measured: Cs2TaF7 after structural relaxation at the PBE level of DFT.

```
20
Lattice="7.509 -3.642 0.000 7.509 3.642 0.000 -6.929 0.000 7.952" Properties=species:S:1:pos:R:3 pbc="T T T"
Cs 0.832 0.485 2.096
Cs -2.632 -0.485 6.072
Cs 10.721 0.485 1.880
Cs 7.257 -0.485 5.856
Ta 5.777 0.687 1.988
Ta 2.312 -0.687 5.964
F 5.777 2.709 1.988
F 3.844 1.053 1.879
F 6.089 1.133 0.088
F 1.630 0.914 4.984
F 5.465 1.133 3.888
F 2.994 0.914 6.945
F 7.710 1.053 2.097
F 0.379 -1.053 5.855
F 5.095 -0.914 1.007
F 2.624 -1.133 4.064
F 6.459 -0.914 2.969
F 2.000 -1.133 7.864
F 4.245 -1.053 6.074
F 2.312 -2.709 5.964
```

## Properties
Its total energy is -5.866 eV per atom. For the formation energy (no corrections), the calculation gives -3.2000 eV/atom. As for the magnetization: 0.00 μB/f.u. For the theoretical density, the calculation gives 4.43 g/cm³. The space group is C2/c (15).


No. 5
Computed, not measured: Cs6TaF12 after structural relaxation at the PBE level of DFT.

```
19
Lattice="6.438 3.717 3.930 -6.438 3.717 3.930 0.000 -7.435 3.930" Properties=species:S:1:pos:R:3 pbc="T T T"
Cs -3.594 -3.447 6.149
Cs -4.782 1.389 5.640
Cs 1.188 -4.836 5.640
Cs -1.188 4.836 6.149
Cs 4.782 -1.389 6.149
Cs 3.594 3.447 5.640
Ta 0.000 0.000 5.894
F -1.556 -5.116 5.161
F -5.208 -1.210 6.628
F -1.573 -0.148 4.784
F -3.652 3.906 5.161
F 0.915 -1.289 4.784
F -0.659 -1.437 7.005
F 0.659 1.437 4.784
F -0.915 1.289 7.005
F 3.652 -3.906 6.628
F 1.573 0.148 7.005
F 5.208 1.210 5.161
F 1.556 5.116 6.628
```

## Properties
Its total energy is -4.876 eV per atom. For the formation energy (no corrections), the calculation gives -2.8012 eV/atom. As for the magnetization: 1.08 μB/f.u. For the theoretical density, the calculation gives 3.55 g/cm³. The space group is R-3 (148).


No. 6
Computed, not measured: Cs3TaF after structural relaxation at the PBE level of DFT.

```
5
Lattice="6.008 0.000 0.000 0.000 6.008 0.000 0.000 0.000 6.008" Properties=species:S:1:pos:R:3 pbc="T T T"
Cs 0.000 0.000 3.004
Cs 0.000 3.004 0.000
Cs 3.004 0.000 0.000
Ta 3.004 3.004 3.004
F 0.000 0.000 0.000
```

## Properties
Its total energy is -3.197 eV per atom. For the formation energy (no corrections), the calculation gives 0.0596 eV/atom. As for the magnetization: 5.00 μB/f.u. For the theoretical density, the calculation gives 4.58 g/cm³. The space group is Pm-3m (221).


No. 7
Computed, not measured: CsTa2F after structural relaxation at the PBE level of DFT.

```
8
Lattice="-3.384 3.384 4.794 3.384 -3.384 4.794 3.384 3.384 -4.794" Properties=species:S:1:pos:R:3 pbc="T T T"
Cs 3.384 1.692 1.199
Cs 0.000 1.692 3.596
Ta 0.000 0.000 0.000
Ta 1.692 1.692 -2.397
Ta 1.692 -1.692 2.397
Ta 0.000 3.384 0.000
F 3.384 -1.692 3.596
F 0.000 5.076 1.199
```

## Properties
Its total energy is -5.553 eV per atom. For the formation energy (no corrections), the calculation gives 1.0544 eV/atom. As for the magnetization: 0.00 μB/f.u. For the theoretical density, the calculation gives 7.77 g/cm³. The space group is I4_1/amd (141). The relative energy among the computed polymorphs comes out at 0.000 eV/atom.


No. 8
Computed, not measured: CsTa2F11 after structural relaxation at the PBE level of DFT.

```
28
Lattice="-4.191 5.376 6.554 4.191 -5.376 6.554 4.191 5.376 -6.554" Properties=species:S:1:pos:R:3 pbc="T T T"
Cs 0.000 0.000 3.277
Cs 0.000 0.000 9.831
Ta 5.031 1.930 0.000
Ta 0.840 3.446 0.000
Ta 3.351 1.930 6.554
Ta -0.840 3.446 6.554
F 4.191 0.000 0.000
F 2.295 -1.068 1.342
F 0.841 2.057 -1.310
F 3.122 2.165 0.000
F 6.087 1.068 1.342
F 5.032 3.318 -1.310
F 0.841 2.057 1.310
F 1.896 4.308 -1.342
F 3.122 -2.165 6.554
F 5.032 3.318 1.310
F 2.295 1.068 5.212
F 0.000 5.376 0.000
F 1.896 4.308 1.342
F -0.841 2.057 5.244
F 1.069 7.541 0.000
F 2.295 1.068 7.895
F 3.350 3.318 5.244
F -0.841 2.057 7.864
F -1.896 4.308 5.212
F 1.069 3.211 6.554
F 3.350 3.318 7.864
F 1.896 6.444 5.212
```

## Properties
Its total energy is -6.438 eV per atom. For the formation energy (no corrections), the calculation gives -3.2133 eV/atom. As for the magnetization: 0.00 μB/f.u. For the theoretical density, the calculation gives 3.96 g/cm³. The space group is Ibam (72).


No. 9
Computed, not measured: CsTaF5 after structural relaxation at the PBE level of DFT.

```
14
Lattice="5.919 -4.308 0.000 5.919 4.308 0.000 -5.623 0.000 6.002" Properties=species:S:1:pos:R:3 pbc="T T T"
Cs 4.513 -4.304 1.501
Cs 1.702 4.304 4.502
Ta 5.919 0.000 0.000
Ta 3.107 0.000 3.001
F 1.682 0.003 1.637
F 5.913 1.974 0.001
F 3.113 1.974 3.000
F -1.129 -0.003 4.638
F 1.702 0.005 4.502
F 4.513 -0.005 1.501
F 7.344 0.003 1.364
F 0.302 -1.974 6.001
F 3.101 -1.974 3.002
F 4.533 -0.003 4.365
```

## Properties
Its total energy is -6.180 eV per atom. For the formation energy (no corrections), the calculation gives -3.0286 eV/atom. As for the magnetization: 1.00 μB/f.u. For the theoretical density, the calculation gives 4.44 g/cm³. The space group is C2/c (15).


No. 10
Computed, not measured: CsTaF3 after structural relaxation at the PBE level of DFT.

```
5
Lattice="5.172 0.000 0.000 0.000 5.172 0.000 0.000 0.000 5.172" Properties=species:S:1:pos:R:3 pbc="T T T"
Cs 0.000 0.000 0.000
Ta 2.586 2.586 2.586
F 0.000 0.000 2.586
F 0.000 2.586 0.000
F 2.586 0.000 0.000
```

## Properties
Its total energy is -3.727 eV per atom. For the formation energy (no corrections), the calculation gives -0.0625 eV/atom. As for the magnetization: 3.60 μB/f.u. For the theoretical density, the calculation gives 4.45 g/cm³. The space group is Pm-3m (221). The relative energy among the computed polymorphs comes out at 1.872 eV/atom.


No. 11
Computed, not measured: CsTa2F after structural relaxation at the PBE level of DFT.

```
4
Lattice="0.000 3.350 3.350 3.350 0.000 3.350 3.350 3.350 0.000" Properties=species:S:1:pos:R:3 pbc="T T T"
Cs 0.000 0.000 0.000
Ta 1.675 1.675 1.675
Ta 5.026 5.026 5.026
F 3.350 3.350 3.350
```

## Properties
Its total energy is -4.871 eV per atom. For the formation energy (no corrections), the calculation gives 1.7369 eV/atom. As for the magnetization: 0.00 μB/f.u. For the theoretical density, the calculation gives 11.34 g/cm³. The space group is Fm-3m (225). The relative energy among the computed polymorphs comes out at 0.682 eV/atom.


No. 12
Computed, not measured: Cs2TaTcF6 after structural relaxation at the PBE level of DFT.

```
10
Lattice="0.000 4.417 4.417 4.417 0.000 4.417 4.417 4.417 0.000" Properties=species:S:1:pos:R:3 pbc="T T T"
Cs 2.209 2.209 2.209
Cs 6.626 6.626 6.626
Ta 0.000 0.000 0.000
Tc 4.417 4.417 4.417
F 4.417 4.417 2.145
F 4.417 2.145 4.417
F 6.690 4.417 4.417
F 2.145 4.417 4.417
F 4.417 6.690 4.417
F 4.417 4.417 6.690
```

## Properties
Its total energy is -5.397 eV per atom. For the formation energy (no corrections), the calculation gives -1.8815 eV/atom. As for the magnetization: 2.00 μB/f.u. For the theoretical density, the calculation gives 6.35 g/cm³. The space group is Fm-3m (225).


The lowest total energy belongs to which entry? CsTa2F11


Among the records above, which one has the highest magnetization? Cs3TaF